No. 1
Below is a relaxed Nd3Sc2Ag3 crystal, with properties calculated at the GGA-PBE level.

```
8
Lattice="-1.802 2.655 10.848 1.802 -2.655 10.848 1.802 2.655 -10.848" Properties=species:S:1:pos:R:3 pbc="T T T"
Nd 0.000 0.000 0.000
Nd 1.802 0.000 8.131
Nd 0.000 2.655 2.717
Sc 0.000 0.000 5.109
Sc 0.000 0.000 16.588
Ag 1.802 0.000 2.814
Ag 0.000 0.000 10.848
Ag 0.000 2.655 8.034
```

Properties
Electronic total energy ... -4.6154 eV per atom
Theoretical density ... 6.8 g cm⁻³
SG ... Immm (71)
Formation energy from the elements ... -0.1753 eV per atom
N(E_F) ... 9.7 states/eV/cell


No. 2
Below is a relaxed TmPaTe2O8 crystal, with properties calculated at the GGA-PBE level.

```
12
Lattice="-3.587 3.587 3.607 3.587 -3.587 3.607 3.587 3.587 -3.607" Properties=species:S:1:pos:R:3 pbc="T T T"
Tm 0.000 0.000 0.000
Pa 3.587 0.000 1.804
Te 0.000 0.000 3.607
Te 0.000 3.587 1.804
O 2.203 3.587 -1.492
O 1.384 0.000 2.115
O 0.000 2.242 0.265
O 3.587 2.203 1.492
O 0.000 4.932 0.265
O 0.000 1.384 5.099
O -1.345 3.587 3.342
O 1.345 3.587 3.342
```

Properties
Electronic total energy ... -7.0895 eV per atom
Theoretical density ... 7.0 g cm⁻³
SG ... I-4m2 (119)
Uncorrected formation energy ... -202.28 kJ/mol of atoms


No. 3
Below is a relaxed TmThAsS crystal, with properties calculated at the GGA-PBE level.

```
4
Lattice="1.990 1.149 6.977 -1.990 1.149 6.977 0.000 -2.298 6.977" Properties=species:S:1:pos:R:3 pbc="T T T"
Tm 0.000 0.000 0.000
Th 0.000 0.000 3.763
As 0.000 0.000 15.780
S 0.000 0.000 12.441
```

Properties
Electronic total energy ... -6.7171 eV per atom
Theoretical density ... 8.8 g cm⁻³
SG ... R3m (160)
Uncorrected formation energy ... -149.55 kJ/mol of atoms
N(E_F) ... 0.8 states/eV/cell


No. 4
Below is a relaxed Sr12Ca5Ac2 crystal, with properties calculated at the GGA-PBE level.

```
19
Lattice="13.005 -3.987 0.000 13.005 3.987 0.000 -3.608 0.000 9.476" Properties=species:S:1:pos:R:3 pbc="T T T"
Sr 5.146 2.004 6.709
Sr 0.585 0.000 1.927
Sr 9.811 2.022 1.069
Sr 12.592 2.022 8.408
Sr 7.763 0.000 4.222
Sr 17.257 2.004 2.767
Sr 5.146 -2.004 6.709
Sr 14.639 0.000 5.254
Sr 9.811 -2.022 1.069
Sr 12.592 -2.022 8.408
Sr 21.818 0.000 7.549
Sr 17.257 -2.004 2.767
Ca 1.730 0.000 5.670
Ca 6.514 0.000 0.069
Ca 13.005 0.000 0.000
Ca 15.888 0.000 9.407
Ca 20.673 0.000 3.806
Ac 11.201 2.068 4.738
Ac 11.201 -2.068 4.738
```

Properties
Electronic total energy ... -1.9032 eV per atom
Theoretical density ... 2.9 g cm⁻³
SG ... C2/m (12)
Formation energy from the elements ... 0.1183 eV per atom
N(E_F) ... 24.8 states/eV/cell


No. 5
Below is a relaxed Ba2YCdCu crystal, with properties calculated at the GGA-PBE level.

```
5
Lattice="6.572 0.000 0.000 0.000 6.572 0.000 0.000 0.000 4.882" Properties=species:S:1:pos:R:3 pbc="T T T"
Ba 0.000 3.286 0.000
Ba 3.286 0.000 0.000
Y 0.000 0.000 2.441
Cd 3.286 3.286 0.000
Cu 3.286 3.286 2.441
```

Properties
Electronic total energy ... -2.6392 eV per atom
Theoretical density ... 4.2 g cm⁻³
SG ... P4/mmm (123)
Formation energy from the elements ... 0.4250 eV per atom
N(E_F) ... 4.9 states/eV/cell


No. 6
Below is a relaxed Pu2MgReN5 crystal, with properties calculated at the GGA-PBE level.

```
18
Lattice="1.677 -6.603 0.000 1.677 6.603 0.000 0.000 0.000 9.830" Properties=species:S:1:pos:R:3 pbc="T T T"
Pu 1.677 5.085 4.915
Pu 1.677 4.593 1.065
Pu 1.677 -4.593 5.980
Pu 1.677 -5.085 0.000
Mg 1.677 3.772 8.030
Mg 1.677 -3.772 3.115
Re 1.677 0.356 2.658
Re 1.677 -0.356 7.573
N 1.677 5.937 8.461
N 1.677 2.889 4.727
N 1.677 2.335 1.725
N 1.677 1.667 8.049
N 1.677 0.195 5.783
N 1.677 -0.195 0.868
N 1.677 -1.667 3.133
N 1.677 -2.335 6.640
N 1.677 -2.889 9.642
N 1.677 -5.937 3.545
```

Properties
Electronic total energy ... -10.1140 eV per atom
Theoretical density ... 11.7 g cm⁻³
SG ... Cmc2_1 (36)
Uncorrected formation energy ... -71.75 kJ/mol of atoms
N(E_F) ... 20.7 states/eV/cell


No. 7
Below is a relaxed CeSmErCd crystal, with properties calculated at the GGA-PBE level.

```
4
Lattice="0.000 3.823 3.823 3.823 0.000 3.823 3.823 3.823 0.000" Properties=species:S:1:pos:R:3 pbc="T T T"
Ce 0.000 0.000 0.000
Sm 5.734 5.734 5.734
Er 1.911 1.911 1.911
Cd 3.823 3.823 3.823
```

Properties
Electronic total energy ... -3.9684 eV per atom
Theoretical density ... 8.5 g cm⁻³
SG ... F-43m (216)
Formation energy from the elements ... 0.0643 eV per atom
N(E_F) ... 8.5 states/eV/cell


No. 8
Below is a relaxed KLi2AgAs crystal, with properties calculated at the GGA-PBE level.

```
5
Lattice="4.972 0.000 0.000 0.000 4.972 0.000 0.000 0.000 5.287" Properties=species:S:1:pos:R:3 pbc="T T T"
K 0.000 0.000 0.000
Li 0.000 2.486 2.643
Li 2.486 0.000 2.643
Ag 2.486 2.486 0.000
As 2.486 2.486 2.643
```

Properties
Electronic total energy ... -2.7467 eV per atom
Theoretical density ... 3.0 g cm⁻³
SG ... P4/mmm (123)
Formation energy from the elements ... -0.2616 eV per atom
N(E_F) ... 1.4 states/eV/cell